The following is a PBE-GGA calculation of an optimized crystal structure of PrHoCl, from Alexandria via LeMat-Bulk.

Unit cell a=3.7120 b=3.7120 c=7.2654 alpha=90.00 beta=90.00 gamma=120.00
Space group P3m1 (No. 156)
Inequivalent atoms, fractional coordinates:
Pr: 0.0000 0.0000 0.0000 (multiplicity 1)
Ho: 0.6667 0.3333 0.3816 (multiplicity 1)
Cl: 0.3333 0.6667 0.6660 (multiplicity 1)

Summary:
Uncorrected formation energy: -0.901 eV/atom
Relative energy among the computed polymorphs: 0 meV/atom


The following is a PBE-GGA calculation of an optimized crystal structure of TlHg2AsO, from Alexandria via LeMat-Bulk.

Unit cell a=5.6703 b=5.6703 c=3.8518 alpha=90.00 beta=90.00 gamma=90.00
Space group P4/mmm (No. 123)
Inequivalent atoms, fractional coordinates:
Tl: 0.0000 0.0000 0.0000 (multiplicity 1)
Hg: 0.0000 0.5000 0.5000 (multiplicity 2)
As: 0.5000 0.5000 0.5000 (multiplicity 1)
O: 0.5000 0.5000 0.0000 (multiplicity 1)

Summary:
Uncorrected formation energy: -0.107 eV/atom


The following is a PBE-GGA calculation of an optimized crystal structure of Sr4Hg2H, from Alexandria via LeMat-Bulk.

Unit cell a=5.1238 b=5.1238 c=17.7156 alpha=90.00 beta=90.00 gamma=90.00
Space group I4/mmm (No. 139)
Inequivalent atoms, fractional coordinates:
Sr: 0.0000 0.0000 0.1829 (multiplicity 4)
Sr: 0.0000 0.5000 0.0000 (multiplicity 4)
Hg: 0.0000 0.0000 0.3711 (multiplicity 4)
H: 0.0000 0.0000 0.0000 (multiplicity 2)

Summary:
Relative energy among the computed polymorphs: 39 meV/atom


The following is a PBE-GGA calculation of an optimized crystal structure of Pa6MnS12, from Alexandria via LeMat-Bulk.

Unit cell a=11.9756 b=11.9756 c=10.8624 alpha=90.00 beta=90.00 gamma=120.00
Space group R-3 (No. 148, hexagonal axes)
Inequivalent atoms, fractional coordinates:
Pa: 0.0533 0.7798 0.1482 (multiplicity 18)
Mn: 0.0000 0.0000 0.5000 (multiplicity 3)
S: 0.0363 0.8220 0.8918 (multiplicity 18)
S: 0.0490 0.8466 0.3882 (multiplicity 18)

Summary:
Uncorrected formation energy: -1.461 eV/atom


The following is a PBE-GGA calculation of an optimized crystal structure of K2CaTa, from Alexandria via LeMat-Bulk.

Unit cell a=4.8145 b=4.8145 c=27.1324 alpha=90.00 beta=90.00 gamma=90.00
Space group I-42d (No. 122)
Inequivalent atoms, fractional coordinates:
K: 0.2371 0.2500 0.1250 (multiplicity 8)
Ca: 0.0000 0.0000 0.5000 (multiplicity 4)
Ta: 0.0000 0.0000 0.0000 (multiplicity 4)

Summary:
Formation enthalpy at 0 K: 1347 meV/atom
Relative energy among the computed polymorphs: 481 meV/atom


The following is a PBE-GGA calculation of an optimized crystal structure of RbIn2GaPt, from Alexandria via LeMat-Bulk.

Unit cell a=5.3903 b=5.3903 c=4.9832 alpha=90.00 beta=90.00 gamma=90.00
Space group P4/mmm (No. 123)
Inequivalent atoms, fractional coordinates:
Rb: 0.0000 0.0000 0.0000 (multiplicity 1)
In: 0.0000 0.5000 0.5000 (multiplicity 2)
Ga: 0.5000 0.5000 0.0000 (multiplicity 1)
Pt: 0.5000 0.5000 0.5000 (multiplicity 1)

Summary:
Formation enthalpy at 0 K: -176 meV/atom
Relative energy among the computed polymorphs: 0 meV/atom


The following is a PBE-GGA calculation of an optimized crystal structure of Y8NiAu2, from Alexandria via LeMat-Bulk.

Unit cell a=7.2629 b=16.5545 c=5.9200 alpha=90.00 beta=120.85 gamma=90.00
Space group Cm (No. 8)
Inequivalent atoms, fractional coordinates:
Y: 0.0000 0.0000 0.0000 (multiplicity 2)
Y: 0.0034 0.1136 0.4884 (multiplicity 4)
Y: 0.2318 0.3018 0.8219 (multiplicity 4)
Y: 0.4513 0.1174 0.1640 (multiplicity 4)
Y: 0.4712 0.0000 0.6902 (multiplicity 2)
Ni: 0.2210 0.5000 0.4877 (multiplicity 2)
Au: 0.2237 0.2311 0.3189 (multiplicity 4)

Summary:
Formation enthalpy at 0 K: -333 meV/atom


The following is a PBE-GGA calculation of an optimized crystal structure of Ac4Tb3Y, from Alexandria via LeMat-Bulk.

Unit cell a=5.3976 b=10.7945 c=10.5216 alpha=90.00 beta=90.00 gamma=90.00
Space group Pmmn (No. 59, origin choice 2)
Inequivalent atoms, fractional coordinates:
Ac: 0.2500 0.9996 0.1383 (multiplicity 4)
Ac: 0.2500 0.2500 0.8615 (multiplicity 2)
Ac: 0.2500 0.7500 0.8629 (multiplicity 2)
Tb: 0.2500 0.9999 0.6095 (multiplicity 4)
Tb: 0.2500 0.7500 0.3901 (multiplicity 2)
Y: 0.2500 0.2500 0.3905 (multiplicity 2)

Summary:
Formation enthalpy at 0 K: 58 meV/atom


The following is a PBE-GGA calculation of an optimized crystal structure of YNiMo2, from Alexandria via LeMat-Bulk.

Unit cell a=3.1832 b=3.1832 c=24.8192 alpha=90.00 beta=90.00 gamma=120.00
Space group R3m (No. 160, hexagonal axes)
Inequivalent atoms, fractional coordinates:
Y: 0.0000 0.0000 0.0000 (multiplicity 3)
Ni: 0.0000 0.0000 0.7549 (multiplicity 3)
Mo: 0.0000 0.0000 0.2323 (multiplicity 3)
Mo: 0.0000 0.0000 0.4931 (multiplicity 3)

Summary:
Formation enthalpy at 0 K: 373 meV/atom
Relative energy among the computed polymorphs: 256 meV/atom


The following is a PBE-GGA calculation of an optimized crystal structure of BeBi2SeS, from Alexandria via LeMat-Bulk.

Unit cell a=5.6068 b=5.6068 c=4.7198 alpha=90.00 beta=90.00 gamma=90.00
Space group P4/mmm (No. 123)
Inequivalent atoms, fractional coordinates:
Be: 0.0000 0.0000 0.0000 (multiplicity 1)
Bi: 0.0000 0.5000 0.5000 (multiplicity 2)
Se: 0.5000 0.5000 0.5000 (multiplicity 1)
S: 0.5000 0.5000 0.0000 (multiplicity 1)

Summary:
Uncorrected formation energy: 1.004 eV/atom


The following is a PBE-GGA calculation of an optimized crystal structure of Cs3Tb2PaS6, from Alexandria via LeMat-Bulk.

Unit cell a=7.1164 b=12.3243 c=8.4362 alpha=90.00 beta=106.32 gamma=90.00
Space group C2/m (No. 12)
Inequivalent atoms, fractional coordinates:
Cs: 0.0000 0.0000 0.0000 (multiplicity 2)
Cs: 0.0000 0.3317 0.0000 (multiplicity 4)
Tb: 0.0000 0.1665 0.5000 (multiplicity 4)
Pa: 0.0000 0.5000 0.5000 (multiplicity 2)
S: 0.2254 0.3354 0.6826 (multiplicity 8)
S: 0.2319 0.0000 0.6832 (multiplicity 4)

Summary:
Uncorrected formation energy: -1.685 eV/atom


The following is a PBE-GGA calculation of an optimized crystal structure of Tl4AgP, from Alexandria via LeMat-Bulk.

Unit cell a=8.8846 b=8.8846 c=8.8846 alpha=90.00 beta=90.00 gamma=90.00
Space group F-43m (No. 216)
Inequivalent atoms, fractional coordinates:
Tl: 0.1255 0.1255 0.1255 (multiplicity 16)
Ag: 0.2500 0.2500 0.7500 (multiplicity 4)
P: 0.0000 0.0000 0.5000 (multiplicity 4)

Summary:
Formation enthalpy at 0 K: 543 meV/atom